(1)
! NaSm2I PBE optimized geometry; values from VASP
&SYSTEM
  ibrav = 0, nat = 4, ntyp = 3
/
ATOMIC_SPECIES
I 126.90 I.upf
Sm 150.36 Sm.upf
Na 22.99 Na.upf
CELL_PARAMETERS angstrom
3.679 0.000 0.000
1.839 3.186 0.000
1.839 1.062 12.253
ATOMIC_POSITIONS crystal
I 0.500 0.500 0.500
Sm 0.097 0.097 0.708
Sm 0.903 0.903 0.292
Na 0.000 0.000 0.000
! - N(E_F): 5.7 states/eV per cell
! - Formation energy from raw total energies: -0.473 eV per formula unit

(2)
! AgAs2Br PBE optimized geometry; values from VASP
&SYSTEM
  ibrav = 0, nat = 4, ntyp = 3
/
ATOMIC_SPECIES
Ag 107.87 Ag.upf
As 74.92 As.upf
Br 79.90 Br.upf
CELL_PARAMETERS angstrom
-2.275 2.254 3.928
-3.064 0.476 -2.047
-2.302 -4.424 1.205
ATOMIC_POSITIONS crystal
Ag 0.500 0.750 0.750
As 0.000 0.536 0.586
As 0.000 0.964 0.914
Br 0.500 0.250 0.250
! - N(E_F): 1.0 states/eV per cell
! - Formation energy from raw total energies: 0.169 eV per formula unit
! - Excess energy over the best structure of this formula in the dataset: 3.98 kcal/mol of atoms

(3)
! PPbO4 PBE optimized geometry; values from VASP
&SYSTEM
  ibrav = 0, nat = 12, ntyp = 3
/
ATOMIC_SPECIES
O 16.00 O.upf
Pb 207.20 Pb.upf
P 30.97 P.upf
CELL_PARAMETERS angstrom
-2.729 4.019 -0.736
-2.077 -0.602 4.415
4.975 3.904 2.874
ATOMIC_POSITIONS crystal
O 0.924 0.364 0.500
Pb 0.506 0.133 0.500
Pb 0.006 0.867 0.000
O 0.338 0.179 0.175
O 0.838 0.821 0.675
P 0.975 0.675 0.500
O 0.424 0.636 0.000
O 0.838 0.821 0.325
O 0.289 0.705 0.500
P 0.475 0.325 0.000
O 0.789 0.295 0.000
O 0.338 0.179 0.825
! - N(E_F): 3.8 states/eV per cell
! - Formation energy from raw total energies: -10.284 eV per formula unit

(4)
! Tl12Cl5O3 PBE optimized geometry; values from VASP
&SYSTEM
  ibrav = 0, nat = 80, ntyp = 3
/
ATOMIC_SPECIES
Tl 204.38 Tl.upf
O 16.00 O.upf
Cl 35.45 Cl.upf
CELL_PARAMETERS angstrom
15.937 0.000 0.000
-5.312 15.025 0.000
-5.312 -7.513 13.012
ATOMIC_POSITIONS crystal
Tl 0.437 0.645 0.131
O 0.375 0.750 0.625
O 0.250 0.125 0.375
Tl 0.563 0.209 0.194
Tl 0.369 0.063 0.355
Tl 0.563 0.355 0.869
Tl 0.937 0.631 0.145
Tl 0.369 0.306 0.515
Tl 0.855 0.985 0.291
Tl 0.485 0.291 0.355
Tl 0.806 0.291 0.437
Tl 0.869 0.015 0.806
Cl 0.500 0.500 0.000
Tl 0.937 0.306 0.291
O 0.125 0.875 0.750
Tl 0.194 0.709 0.563
Tl 0.131 0.145 0.437
Tl 0.694 0.063 0.209
Tl 0.631 0.694 0.485
Tl 0.209 0.563 0.694
Tl 0.515 0.806 0.369
Cl 0.000 0.500 0.000
Tl 0.709 0.515 0.145
Cl 0.375 0.125 0.750
Cl 0.125 0.375 0.250
Tl 0.355 0.563 0.369
Cl 0.250 0.375 0.625
Tl 0.145 0.015 0.709
Tl 0.869 0.855 0.563
Cl 0.500 0.500 0.500
O 0.750 0.375 0.125
Cl 0.125 0.750 0.375
Tl 0.131 0.985 0.194
Cl 0.000 0.000 0.500
Cl 0.250 0.875 0.125
Cl 0.625 0.875 0.250
Tl 0.306 0.937 0.791
Tl 0.515 0.709 0.645
Tl 0.015 0.869 0.306
O 0.375 0.625 0.250
O 0.625 0.250 0.375
O 0.250 0.625 0.875
Tl 0.645 0.437 0.631
Tl 0.355 0.791 0.485
Cl 0.875 0.250 0.625
Cl 0.625 0.750 0.875
Cl 0.750 0.125 0.875
Tl 0.437 0.791 0.806
Tl 0.291 0.806 0.937
Tl 0.855 0.869 0.063
Tl 0.015 0.145 0.209
Tl 0.985 0.855 0.791
Tl 0.806 0.515 0.869
Tl 0.145 0.131 0.937
Tl 0.709 0.194 0.063
Tl 0.291 0.485 0.855
Tl 0.063 0.369 0.855
Cl 0.000 0.500 0.500
Tl 0.485 0.194 0.631
Tl 0.985 0.131 0.694
O 0.625 0.375 0.750
Cl 0.375 0.250 0.125
Cl 0.875 0.625 0.750
O 0.875 0.750 0.125
Cl 0.500 0.000 0.500
Tl 0.194 0.485 0.131
O 0.750 0.875 0.625
O 0.125 0.250 0.875
Tl 0.306 0.369 0.015
Tl 0.631 0.937 0.645
Tl 0.791 0.355 0.985
Tl 0.063 0.694 0.709
O 0.875 0.125 0.250
Tl 0.791 0.437 0.306
Tl 0.645 0.209 0.515
Cl 0.000 0.000 0.000
Cl 0.750 0.625 0.375
Tl 0.209 0.645 0.015
Tl 0.694 0.631 0.985
Cl 0.500 0.000 0.000
! - N(E_F): 6.5 states/eV per cell
! - Formation energy from raw total energies: -11.118 eV per formula unit

(5)
! AgSnRh2 PBE optimized geometry; values from VASP
&SYSTEM
  ibrav = 0, nat = 8, ntyp = 3
/
ATOMIC_SPECIES
Sn 118.71 Sn.upf
Rh 102.91 Rh.upf
Ag 107.87 Ag.upf
CELL_PARAMETERS angstrom
-0.946 7.060 -1.346
-6.305 -1.467 -3.262
-4.951 3.083 0.130
ATOMIC_POSITIONS crystal
Sn 0.750 0.250 0.500
Sn 0.000 0.000 0.000
Rh 0.375 0.356 0.750
Rh 0.106 0.625 0.250
Ag 0.250 0.750 0.500
Ag 0.500 0.500 0.000
Rh 0.644 0.125 0.250
Rh 0.875 0.894 0.750
! - N(E_F): 8.2 states/eV per cell
! - E_tot: -0.3814 Ry/atom

(6)
! BaY2Cd3 PBE optimized geometry; values from VASP
&SYSTEM
  ibrav = 0, nat = 6, ntyp = 3
/
ATOMIC_SPECIES
Y 88.91 Y.upf
Cd 112.41 Cd.upf
Ba 137.33 Ba.upf
CELL_PARAMETERS angstrom
3.857 0.000 0.000
0.000 3.857 0.000
0.000 0.000 11.969
ATOMIC_POSITIONS crystal
Y 0.500 0.500 0.153
Cd 0.000 0.000 0.295
Ba 0.500 0.500 0.500
Cd 0.000 0.000 0.000
Cd 0.000 0.000 0.705
Y 0.500 0.500 0.847
! - N(E_F): 4.7 states/eV per cell
! - E_tot: -0.2389 Ry/atom

(7)
! Ho4AuS2 PBE optimized geometry; values from VASP
&SYSTEM
  ibrav = 0, nat = 14, ntyp = 3
/
ATOMIC_SPECIES
S 32.06 S.upf
Ho 164.93 Ho.upf
Au 196.97 Au.upf
CELL_PARAMETERS angstrom
3.862 0.000 0.000
-1.931 6.354 0.000
0.000 0.000 13.559
ATOMIC_POSITIONS crystal
S 0.863 0.726 0.561
Ho 0.776 0.552 0.120
Au 0.389 0.777 0.250
Ho 0.224 0.448 0.880
Ho 0.500 0.000 0.500
Ho 0.224 0.448 0.620
S 0.137 0.274 0.439
Ho 0.776 0.552 0.380
Au 0.611 0.223 0.750
Ho 0.060 0.121 0.250
Ho 0.940 0.879 0.750
Ho 0.500 0.000 0.000
S 0.137 0.274 0.061
S 0.863 0.726 0.939
! - N(E_F): 6.4 states/eV per cell
! - Formation energy from raw total energies: -9.920 eV per formula unit

(8)
! NbAl3 PBE optimized geometry; values from VASP
&SYSTEM
  ibrav = 0, nat = 4, ntyp = 2
/
ATOMIC_SPECIES
Al 26.98 Al.upf
Nb 92.91 Nb.upf
CELL_PARAMETERS angstrom
-3.141 -3.980 -0.589
-0.253 -3.206 3.963
-0.349 5.052 -0.637
ATOMIC_POSITIONS crystal
Al 0.500 0.500 0.000
Al 0.250 0.750 0.500
Al 0.750 0.250 0.500
Nb 0.000 0.000 0.000
! - N(E_F): 0.7 states/eV per cell
! - E_tot: -0.4236 Ry/atom

(9)
! Ac2LaYTm PBE optimized geometry; values from VASP
&SYSTEM
  ibrav = 0, nat = 10, ntyp = 4
/
ATOMIC_SPECIES
Ac 227.00 Ac.upf
Y 88.91 Y.upf
La 138.91 La.upf
Tm 168.93 Tm.upf
CELL_PARAMETERS angstrom
6.741 0.000 0.000
0.000 8.779 1.638
0.000 -1.195 6.379
ATOMIC_POSITIONS crystal
Ac 0.283 0.705 0.250
Y 0.190 0.500 0.750
La 0.579 0.000 0.250
La 0.421 0.000 0.750
Tm 0.000 0.000 0.000
Ac 0.283 0.295 0.250
Ac 0.717 0.705 0.750
Y 0.810 0.500 0.250
Ac 0.717 0.295 0.750
Tm 0.000 0.000 0.500
! - N(E_F): 11.5 states/eV per cell
! - E_tot: -0.3357 Ry/atom